# VCo2F

A relaxed VCo2F crystal (PBE with a Hubbard U, Alexandria).

Computed properties:
Crystal system: tetragonal
Energy above the most stable polymorph in this dataset (meV/atom): 0

abc: 7.399 7.399 5.680
angles: 49.36 49.36 90.00
Site moments in Bohr magnetons follow the coordinates.
Element x y z (fractional)
F1 0.500 0.500 0.000  0.05
V1 0.750 0.250 0.500  2.61
Co1 0.559 0.125 0.250  2.05
Co2 0.875 0.809 0.750  2.05
Co3 0.191 0.625 0.250  2.05
F2 0.250 0.750 0.500  0.05
Co4 0.375 0.441 0.750  2.05
V2 0.000 0.000 0.000  2.61